Arrangement A

Below is Dy5Ho2Er3 after structural relaxation, with properties calculated at the PBE-GGA level.

a = 10.541 Å, b = 15.567 Å, c = 9.414 Å
α = 90.00°, β = 123.97°, γ = 90.00°
Space group C2/c (No. 15)
Unique sites:
Dy  0.000  0.028  0.250 (multiplicity 4)
Dy  0.000  0.224  0.250 (multiplicity 4)
Dy  0.000  0.270  0.750 (multiplicity 4)
Dy  0.231  0.123  0.712 (multiplicity 8)
Ho  0.139  0.373  0.547 (multiplicity 8)
Er  0.000  0.478  0.750 (multiplicity 4)
Er  0.158  0.121  0.047 (multiplicity 8)


Arrangement B

Below is Dy5Ho2Er3 after structural relaxation, with properties calculated at the PBE-GGA level.

a = 12.687 Å, b = 16.758 Å, c = 6.220 Å
α = 90.00°, β = 90.00°, γ = 90.00°
Space group Ibam (No. 72)
Unique sites:
Dy  0.000  0.000  0.250 (multiplicity 4)
Dy  0.100  0.157  0.000 (multiplicity 8)
Dy  0.249  0.500  0.250 (multiplicity 8)
Ho  0.098  0.343  0.000 (multiplicity 8)
Er  0.000  0.500  0.250 (multiplicity 4)
Er  0.159  0.249  0.500 (multiplicity 8)


Short version: arrangement A is the most stable of them.


Arrangement A

Below is Dy5Ho5Er after structural relaxation, with properties calculated at the PBE-GGA level.

a = 6.0131 Å, b = 6.0131 Å, c = 11.4588 Å
α = 90.00°, β = 90.00°, γ = 120.00°
Space group P-6m2 (No. 187)
Unique sites:
Dy  0.0000  0.0000  0.0000 (multiplicity 1)
Dy  0.3333  0.6667  0.3171 (multiplicity 2)
Dy  0.6667  0.3333  0.1558 (multiplicity 2)
Ho  0.0000  0.0000  0.2643 (multiplicity 2)
Ho  0.3357  0.1679  0.5000 (multiplicity 3)
Er  0.3333  0.6667  0.0000 (multiplicity 1)


Arrangement B

Below is Dy5Ho5Er after structural relaxation, with properties calculated at the PBE-GGA level.

a = 6.814 Å, b = 6.827 Å, c = 8.393 Å
α = 75.58°, β = 75.74°, γ = 70.70°
Space group P-1 (No. 2)
Unique sites:
Dy  0.000  0.000  0.000 (multiplicity 1)
Dy  0.149  0.143  0.361 (multiplicity 2)
Dy  0.312  0.300  0.643 (multiplicity 2)
Ho  0.000  0.500  0.000 (multiplicity 1)
Ho  0.226  0.647  0.284 (multiplicity 2)
Ho  0.351  0.766  0.721 (multiplicity 2)
Er  0.500  0.000  0.000 (multiplicity 1)


Short version: arrangement B is the most stable of them.


Arrangement A

Below is Dy9Ho2Er after structural relaxation, with properties calculated at the PBE-GGA level.

a = 11.1486 Å, b = 11.1486 Å, c = 3.4723 Å
α = 90.00°, β = 90.00°, γ = 120.00°
Space group P6/mmm (No. 191)
Unique sites:
Dy  0.0000  0.5000  0.0000 (multiplicity 3)
Dy  0.1756  0.3512  0.5000 (multiplicity 6)
Ho  0.3333  0.6667  0.0000 (multiplicity 2)
Er  0.0000  0.0000  0.0000 (multiplicity 1)


Arrangement B

Below is Dy9Ho2Er after structural relaxation, with properties calculated at the PBE-GGA level.

a = 4.990 Å, b = 4.990 Å, c = 14.977 Å
α = 90.00°, β = 90.00°, γ = 90.00°
Space group P4/mmm (No. 123)
Unique sites:
Dy  0.000  0.000  0.000 (multiplicity 1)
Dy  0.000  0.000  0.333 (multiplicity 2)
Dy  0.000  0.500  0.166 (multiplicity 4)
Dy  0.000  0.500  0.500 (multiplicity 2)
Ho  0.500  0.500  0.333 (multiplicity 2)
Er  0.500  0.500  0.000 (multiplicity 1)


Short version: arrangement B is the most stable of them.


Arrangement A

Below is Dy5HoEr5 after structural relaxation, with properties calculated at the PBE-GGA level.

a = 18.674 Å, b = 5.856 Å, c = 6.877 Å
α = 90.00°, β = 111.47°, γ = 90.00°
Space group C2/m (No. 12)
Unique sites:
Dy  0.000  0.000  0.000 (multiplicity 2)
Dy  0.178  0.500  0.424 (multiplicity 4)
Dy  0.178  0.500  0.933 (multiplicity 4)
Ho  0.000  0.500  0.000 (multiplicity 2)
Er  0.000  0.500  0.500 (multiplicity 2)
Er  0.123  0.000  0.624 (multiplicity 4)
Er  0.169  0.000  0.170 (multiplicity 4)


Arrangement B

Below is Dy5HoEr5 after structural relaxation, with properties calculated at the PBE-GGA level.

a = 6.787 Å, b = 6.888 Å, c = 8.236 Å
α = 76.05°, β = 76.74°, γ = 72.39°
Space group P-1 (No. 2)
Unique sites:
Dy  0.000  0.000  0.000 (multiplicity 1)
Dy  0.156  0.133  0.358 (multiplicity 2)
Dy  0.324  0.269  0.654 (multiplicity 2)
Ho  0.000  0.500  0.000 (multiplicity 1)
Er  0.210  0.639  0.312 (multiplicity 2)
Er  0.352  0.749  0.720 (multiplicity 2)
Er  0.500  0.000  0.000 (multiplicity 1)


Short version: arrangement B is the most stable of them.


Arrangement A

Below is Dy6HoEr after structural relaxation, with properties calculated at the PBE-GGA level.

a = 4.990 Å, b = 4.990 Å, c = 9.978 Å
α = 90.00°, β = 90.00°, γ = 90.00°
Space group P4/mmm (No. 123)
Unique sites:
Dy  0.000  0.000  0.000 (multiplicity 1)
Dy  0.000  0.000  0.500 (multiplicity 1)
Dy  0.000  0.500  0.250 (multiplicity 4)
Ho  0.500  0.500  0.000 (multiplicity 1)
Er  0.500  0.500  0.500 (multiplicity 1)


Arrangement B

Below is Dy6HoEr after structural relaxation, with properties calculated at the PBE-GGA level.

a = 6.503 Å, b = 6.696 Å, c = 6.869 Å
α = 119.09°, β = 102.77°, γ = 90.06°
Space group P-1 (No. 2)
Unique sites:
Dy  0.230  0.405  0.478 (multiplicity 2)
Dy  0.250  0.949  0.000 (multiplicity 2)
Dy  0.269  0.926  0.521 (multiplicity 2)
Ho  0.500  0.500  0.000 (multiplicity 1)
Er  0.000  0.500  0.000 (multiplicity 1)


Short version: arrangement A is the most stable of them.


Arrangement A

Below is Dy4Ho4Er3 after structural relaxation, with properties calculated at the PBE-GGA level.

a = 3.525 Å, b = 11.082 Å, c = 18.131 Å
α = 90.00°, β = 90.00°, γ = 90.00°
Space group Immm (No. 71)
Unique sites:
Dy  0.000  0.000  0.226 (multiplicity 4)
Dy  0.000  0.206  0.500 (multiplicity 4)
Ho  0.000  0.261  0.330 (multiplicity 8)
Er  0.000  0.000  0.000 (multiplicity 2)
Er  0.000  0.500  0.107 (multiplicity 4)


Arrangement B

Below is Dy4Ho4Er3 after structural relaxation, with properties calculated at the PBE-GGA level.

a = 3.484 Å, b = 5.537 Å, c = 17.878 Å
α = 81.13°, β = 84.42°, γ = 90.00°
Space group P-1 (No. 2)
Unique sites:
Dy  0.046  0.045  0.408 (multiplicity 2)
Dy  0.180  0.680  0.140 (multiplicity 2)
Ho  0.090  0.590  0.319 (multiplicity 2)
Ho  0.233  0.233  0.034 (multiplicity 2)
Er  0.364  0.864  0.773 (multiplicity 2)
Er  0.500  0.500  0.500 (multiplicity 1)


Short version: arrangement B is the most stable of them.